Rb2YZn3F12 | GGA-PBE | relaxed

**Calculated volume**: 17.0 Å³ per atom
**Formation energy without anion corrections**: -2.72 eV/atom
**Size of the total moment**: 0.00 Bohr magnetons per cell

Geometry as POSCAR:
```
Rb2YZn3F12
1.0
3.7342 2.1560 6.3357
-3.7342 2.1560 6.3357
0.0000 -4.3119 6.3357
Rb Y Zn F
2 1 3 12
Direct
0.1169 0.1169 0.1169
0.8831 0.8831 0.8831
0.5000 0.5000 0.5000
0.0000 0.5000 0.5000
0.5000 0.0000 0.5000
0.5000 0.5000 0.0000
0.1480 0.5888 0.5888
0.1931 0.1931 0.5847
0.1931 0.5847 0.1931
0.4112 0.4112 0.8520
0.4112 0.8520 0.4112
0.4153 0.8069 0.8069
0.5847 0.1931 0.1931
0.5888 0.1480 0.5888
0.5888 0.5888 0.1480
0.8069 0.4153 0.8069
0.8069 0.8069 0.4153
0.8520 0.4112 0.4112
```